1.
Computed, not measured: Ru4Au5 after structural relaxation at the GGA-PBE level of DFT.

Values from the calculation:
* energy relative to the elements: 313 meV/atom
* space group: I4/mmm
* magnetization: 0.00 μB/cell

```
Ru4Au5
1.0
5.149 -0.802 -3.754
-2.680 -1.600 5.613
-3.919 -3.612 -3.584
Ru Au
4 5
Direct
0.000 0.646 0.646
0.354 0.000 0.354
0.646 0.000 0.646
0.000 0.354 0.354
0.000 0.000 0.000
0.669 0.669 0.339
0.331 0.669 0.000
0.331 0.331 0.661
0.669 0.331 0.000
```

2.
Computed, not measured: Nd12Sm3Y after structural relaxation at the GGA-PBE level of DFT.

Values from the calculation:
* energy relative to the elements: 12 meV/atom
* space group: P4/mmm
* magnetization: 0.00 μB/cell

```
Nd12Sm3Y
1.0
-2.599 -0.035 -4.488
0.623 -5.139 -0.320
-17.747 -2.791 10.297
Sm Nd Y
3 12 1
Direct
0.000 0.000 0.500
0.000 0.000 0.249
0.000 0.000 0.751
0.500 0.500 0.500
0.000 0.500 0.124
0.500 0.000 0.375
0.000 0.500 0.876
0.500 0.500 0.751
0.500 0.500 0.249
0.000 0.500 0.375
0.000 0.500 0.625
0.500 0.500 0.000
0.500 0.000 0.625
0.500 0.000 0.124
0.500 0.000 0.876
0.000 0.000 0.000
```

3.
Computed, not measured: Ta2Al2Sn after structural relaxation at the GGA-PBE level of DFT.

Values from the calculation:
* energy relative to the elements: 92 meV/atom
* space group: P4/mbm
* magnetization: 0.00 μB/cell
* energy above the most stable polymorph in this dataset: 0.0000 eV per atom

```
Ta2Al2Sn
1.0
7.183 0.000 0.000
0.000 7.183 0.000
0.000 0.000 3.740
Sn Al Ta
2 4 4
Direct
0.000 0.000 0.000
0.500 0.500 0.000
0.659 0.841 0.500
0.841 0.341 0.500
0.159 0.659 0.500
0.341 0.159 0.500
0.633 0.133 0.000
0.367 0.867 0.000
0.133 0.367 0.000
0.867 0.633 0.000
```